Record 1
Computed, not measured: an optimized crystal structure of NaTaHg at the PBE level of DFT.

Properties
The energy above the most stable polymorph in this dataset is 254 meV per atom. Its magnetization is 0.0000 μB per atom. The crystal system is triclinic. The formation energy comes out at 0.408 eV/atom. The value obtained for the energy is -4.0829 eV per atom.

Cell and atoms, written as POSCAR:
```
NaTaHg
1.0
3.0433 -0.0025 0.0027
-1.5167 5.2394 -0.0007
1.4992 -1.2928 8.4282
Na Hg Ta
2 2 2
direct
0.5431 0.0051 0.0299
0.8583 0.4694 0.8690
0.5144 0.4662 0.5517
0.1957 0.4997 0.2207
0.8587 0.9831 0.3773
0.2164 0.9486 0.6312
```

=====

Record 2
Computed, not measured: an optimized crystal structure of NaTaHg2 at the PBE level of DFT.

Properties
Its magnetization is 0.0003 μB per atom. The crystal system is tetragonal. The formation energy comes out at 0.913 eV/atom. The value obtained for the energy is -2.5304 eV per atom.

Cell and atoms, written as POSCAR:
```
NaTaHg2
1.0
-1.9909 -1.0450 -4.1409
0.9089 -4.5678 0.7157
-8.6728 -3.7737 2.4411
Na Hg Ta
2 4 2
direct
0.5000 0.5000 0.0000
0.2500 0.7500 0.5000
0.6459 0.1250 0.2500
0.1041 0.6250 0.2500
0.3750 0.3541 0.7500
0.8750 0.8959 0.7500
0.0000 0.0000 0.0000
0.7500 0.2500 0.5000
```

=====

Record 3
Computed, not measured: an optimized crystal structure of NaTaHg at the PBE level of DFT.

Properties
The energy above the most stable polymorph in this dataset is 971 meV per atom. Its magnetization is 0.0000 μB per atom. The crystal system is cubic. The formation energy comes out at 1.126 eV/atom. The value obtained for the energy is -3.3651 eV per atom.

Cell and atoms, written as POSCAR:
```
NaTaHg
1.0
4.0626 -2.2118 0.3963
0.6277 -3.1127 3.3869
0.2927 -4.5186 -1.0250
Na Hg Ta
1 1 1
direct
0.2500 0.2500 0.2500
0.0000 0.0000 0.0000
0.7500 0.7500 0.7500
```

=====

Record 4
Computed, not measured: an optimized crystal structure of NaTaHg at the PBE level of DFT.

Properties
The energy above the most stable polymorph in this dataset is 13 meV per atom. Its magnetization is 0.0000 μB per atom. The crystal system is triclinic. The formation energy comes out at 0.167 eV/atom. The value obtained for the energy is -4.3239 eV per atom.

Cell and atoms, written as POSCAR:
```
NaTaHg
1.0
-2.0346 2.2251 -0.1591
-10.7707 -9.9310 -0.9032
-0.1893 0.0422 3.0041
Na Hg Ta
2 2 2
direct
0.7481 0.1097 0.2665
0.2519 0.8903 0.7335
0.2490 0.2753 0.7837
0.7510 0.7247 0.2163
0.7497 0.4304 0.3137
0.2503 0.5696 0.6863
```

=====

Record 5
Computed, not measured: an optimized crystal structure of NaTaHg at the PBE level of DFT.

Properties
The energy above the most stable polymorph in this dataset is 152 meV per atom. Its magnetization is 0.0000 μB per atom. The crystal system is monoclinic. The formation energy comes out at 0.307 eV/atom. The value obtained for the energy is -4.1841 eV per atom.

Cell and atoms, written as POSCAR:
```
NaTaHg
1.0
4.6893 -0.0306 0.0001
2.3931 8.8297 -0.0009
0.0008 0.0002 3.1701
Na Hg Ta
2 2 2
direct
0.4033 0.0519 0.0433
0.7867 0.2869 0.0432
0.2343 0.3924 0.5436
0.9578 0.9430 0.5436
0.1011 0.6670 0.0434
0.5978 0.6718 0.5435
```

=====

Record 6
Computed, not measured: an optimized crystal structure of NaTaHg at the PBE level of DFT.

Properties
The energy above the most stable polymorph in this dataset is 0 meV per atom. Its magnetization is 0.0000 μB per atom. The crystal system is monoclinic. The formation energy comes out at 0.155 eV/atom. The value obtained for the energy is -4.3365 eV per atom.

Cell and atoms, written as POSCAR:
```
NaTaHg
1.0
-5.9732 14.7684 1.7376
-2.8276 -0.4812 0.8061
1.5658 -0.4182 2.5001
Na Hg Ta
2 2 2
direct
0.1048 0.1504 0.8496
0.8952 0.8496 0.1504
0.2737 0.4794 0.5206
0.7263 0.5206 0.4794
0.4311 0.8191 0.1809
0.5689 0.1809 0.8191
```

=====

Repeat the second record exactly.
Computed, not measured: an optimized crystal structure of NaTaHg2 at the PBE level of DFT.

Properties
Its magnetization is 0.0003 μB per atom. The crystal system is tetragonal. The formation energy comes out at 0.913 eV/atom. The value obtained for the energy is -2.5304 eV per atom.

Cell and atoms, written as POSCAR:
```
NaTaHg2
1.0
-1.9909 -1.0450 -4.1409
0.9089 -4.5678 0.7157
-8.6728 -3.7737 2.4411
Na Hg Ta
2 4 2
direct
0.5000 0.5000 0.0000
0.2500 0.7500 0.5000
0.6459 0.1250 0.2500
0.1041 0.6250 0.2500
0.3750 0.3541 0.7500
0.8750 0.8959 0.7500
0.0000 0.0000 0.0000
0.7500 0.2500 0.5000
```